# 1
Below is a relaxed HfFeSiRh crystal, with properties calculated at the PBE level.

## Properties
D(E_F) ... 0.465 states/eV/atom
Formation energy from raw total energies ... -60 kJ/mol of atoms

```
data_HfFeSiRh
_chemical_formula_sum 'Hf4 Fe4 Si4 Rh4'
_cell_length_a 6.101
_cell_length_b 6.101
_cell_length_c 6.101
_cell_angle_alpha 90.00
_cell_angle_beta 90.00
_cell_angle_gamma 90.00
_symmetry_space_group_name_H-M 'F -4 3 m'
_symmetry_Int_Tables_number 216
_symmetry_space_group_name_Hall 'F -4 2 3'
loop_
_atom_site_label
_atom_site_type_symbol
_atom_site_fract_x
_atom_site_fract_y
_atom_site_fract_z
Hf1 Hf 0.000 0.000 0.000
Fe1 Fe 0.250 0.250 0.750
Si1 Si 0.000 0.000 0.500
Rh1 Rh 0.250 0.250 0.250
```

# 2
Below is a relaxed NaSiB crystal, with properties calculated at the PBE level.

## Properties
D(E_F) ... 0.000 states/eV/atom
Formation energy from raw total energies ... 24 kJ/mol of atoms

```
data_NaSiB
_chemical_formula_sum 'Na2 Si2 B2'
_cell_length_a 3.518
_cell_length_b 6.198
_cell_length_c 6.200
_cell_angle_alpha 111.97
_cell_angle_beta 104.76
_cell_angle_gamma 104.46
_symmetry_space_group_name_H-M 'P 1'
_symmetry_Int_Tables_number 1
_symmetry_space_group_name_Hall 'P 1'
loop_
_atom_site_label
_atom_site_type_symbol
_atom_site_fract_x
_atom_site_fract_y
_atom_site_fract_z
Na1 Na 0.000 0.000 0.000
Na2 Na 0.005 0.391 0.610
Si1 Si 0.287 0.892 0.467
Si2 Si 0.727 0.530 0.109
B1 B 0.286 0.510 0.277
B2 B 0.732 0.726 0.491
```

# 3
Below is a relaxed In2Au crystal, with properties calculated at the PBE level.

## Properties
D(E_F) ... 0.470 states/eV/atom
Calculated formation energy ... -25 kJ/mol of formula units

```
data_In2Au
_chemical_formula_sum 'In4 Au2'
_cell_length_a 3.439
_cell_length_b 3.439
_cell_length_c 12.039
_cell_angle_alpha 90.00
_cell_angle_beta 90.00
_cell_angle_gamma 90.00
_symmetry_space_group_name_H-M 'I 4/m m m'
_symmetry_Int_Tables_number 139
_symmetry_space_group_name_Hall '-I 4 2'
loop_
_atom_site_label
_atom_site_type_symbol
_atom_site_fract_x
_atom_site_fract_y
_atom_site_fract_z
In1 In 0.000 0.000 0.149
Au1 Au 0.000 0.000 0.500
```

# 4
Below is a relaxed BaLaBi2 crystal, with properties calculated at the PBE level.

## Properties
D(E_F) ... 1.053 states/eV/atom
Calculated formation energy ... -331 kJ/mol of formula units

```
data_BaLaBi2
_chemical_formula_sum 'Ba3 La3 Bi6'
_cell_length_a 4.8279
_cell_length_b 4.8279
_cell_length_c 24.6253
_cell_angle_alpha 90.00
_cell_angle_beta 90.00
_cell_angle_gamma 120.00
_symmetry_space_group_name_H-M 'R -3 m'
_symmetry_Int_Tables_number 166
_symmetry_space_group_name_Hall '-R 3 2"'
loop_
_atom_site_label
_atom_site_type_symbol
_atom_site_fract_x
_atom_site_fract_y
_atom_site_fract_z
Ba1 Ba 0.0000 0.0000 0.0000
La1 La 0.0000 0.0000 0.5000
Bi1 Bi 0.0000 0.0000 0.2410
```

# 5
Below is a relaxed LaCe3Pm2Sb6 crystal, with properties calculated at the PBE level.

## Properties
D(E_F) ... 1.659 states/eV/atom
Formation energy from raw total energies ... -109 kJ/mol of atoms

```
data_LaCe3Pm2Sb6
_chemical_formula_sum 'La2 Ce6 Pm4 Sb12'
_cell_length_a 7.828
_cell_length_b 13.558
_cell_length_c 7.831
_cell_angle_alpha 90.00
_cell_angle_beta 109.47
_cell_angle_gamma 90.00
_symmetry_space_group_name_H-M 'C 1 2/m 1'
_symmetry_Int_Tables_number 12
_symmetry_space_group_name_Hall '-C 2y'
loop_
_atom_site_label
_atom_site_type_symbol
_atom_site_fract_x
_atom_site_fract_y
_atom_site_fract_z
La1 La 0.000 0.000 0.000
Ce1 Ce 0.000 0.165 0.500
Ce2 Ce 0.000 0.500 0.500
Pm1 Pm 0.000 0.333 0.000
Sb1 Sb 0.247 0.332 0.746
Sb2 Sb 0.247 0.500 0.252
```

# 6
Below is a relaxed AlGa2Ge crystal, with properties calculated at the PBE level.

## Properties
D(E_F) ... 0.685 states/eV/atom
Calculated formation energy ... 52 kJ/mol of formula units

```
data_AlGa2Ge
_chemical_formula_sum 'Al4 Ga8 Ge4'
_cell_length_a 6.685
_cell_length_b 6.685
_cell_length_c 6.685
_cell_angle_alpha 90.00
_cell_angle_beta 90.00
_cell_angle_gamma 90.00
_symmetry_space_group_name_H-M 'F m -3 m'
_symmetry_Int_Tables_number 225
_symmetry_space_group_name_Hall '-F 4 2 3'
loop_
_atom_site_label
_atom_site_type_symbol
_atom_site_fract_x
_atom_site_fract_y
_atom_site_fract_z
Al1 Al 0.000 0.000 0.000
Ga1 Ga 0.250 0.250 0.250
Ge1 Ge 0.000 0.000 0.500
```

# 7
Below is a relaxed Pm2Si4Pt5 crystal, with properties calculated at the PBE level.

## Properties
D(E_F) ... 0.593 states/eV/atom
Formation energy from raw total energies ... -86 kJ/mol of atoms

```
data_Pm2Si4Pt5
_chemical_formula_sum 'Pm8 Si16 Pt20'
_cell_length_a 5.520
_cell_length_b 9.884
_cell_length_c 14.694
_cell_angle_alpha 90.00
_cell_angle_beta 90.00
_cell_angle_gamma 90.00
_symmetry_space_group_name_H-M 'F m m m'
_symmetry_Int_Tables_number 69
_symmetry_space_group_name_Hall '-F 2 2'
loop_
_atom_site_label
_atom_site_type_symbol
_atom_site_fract_x
_atom_site_fract_y
_atom_site_fract_z
Pm1 Pm 0.000 0.000 0.138
Si1 Si 0.000 0.151 0.369
Pt1 Pt 0.000 0.000 0.500
Pt2 Pt 0.250 0.250 0.000
Pt3 Pt 0.250 0.250 0.250
```

# 8
Below is a relaxed TeP2W crystal, with properties calculated at the PBE level.

## Properties
D(E_F) ... 0.524 states/eV/atom
Formation energy from raw total energies ... 46 kJ/mol of atoms

```
data_TeP2W
_chemical_formula_sum 'Te4 P8 W4'
_cell_length_a 6.077
_cell_length_b 6.077
_cell_length_c 10.717
_cell_angle_alpha 90.00
_cell_angle_beta 90.00
_cell_angle_gamma 90.00
_symmetry_space_group_name_H-M 'I -4 2 d'
_symmetry_Int_Tables_number 122
_symmetry_space_group_name_Hall 'I -4 2bw'
loop_
_atom_site_label
_atom_site_type_symbol
_atom_site_fract_x
_atom_site_fract_y
_atom_site_fract_z
Te1 Te 0.000 0.000 0.000
P1 P 0.185 0.250 0.625
W1 W 0.000 0.000 0.500
```

Q: D(E_F) of number 3 (In2Au)?
A: 0.470 states/eV/atom

Q: What is the D(E_F) in the seventh record?
A: 0.593 states/eV/atom

Q: D(E_F) of number 6 (AlGa2Ge)?
A: 0.685 states/eV/atom

Q: What is the D(E_F) in the eighth record?
A: 0.524 states/eV/atom